Entry 1:
The following is a PBE calculation of a geometry-optimized CsSnSe2 structure, from the Alexandria database.

Cell lengths 8.5587, 5.3099, 12.4724 Å; angles 90.00, 90.00, 90.00 degrees
Fractional coordinates of all 16 atoms:
Cs1 0.1330 0.2500 0.1303
Cs2 0.3670 0.7500 0.6303
Cs3 0.6330 0.2500 0.3697
Cs4 0.8670 0.7500 0.8697
Sn1 0.0497 0.7500 0.3879
Sn2 0.4503 0.2500 0.8879
Sn3 0.5497 0.7500 0.1121
Sn4 0.9503 0.2500 0.6121
Se1 0.1310 0.2500 0.7780
Se2 0.1490 0.2500 0.4353
Se3 0.3510 0.7500 0.9353
Se4 0.3690 0.7500 0.2780
Se5 0.6310 0.2500 0.7220
Se6 0.6490 0.2500 0.0647
Se7 0.8510 0.7500 0.5647
Se8 0.8690 0.7500 0.2220

Values from the calculation:
Size of the total moment ... 0.00 μB/cell
E ... -3.716 eV per atom
Raw formation energy ... -760 meV per atom

---

Entry 2:
The following is a PBE calculation of a geometry-optimized HgOs3 structure, from the Alexandria database.

Cell lengths 9.2748, 2.8119, 4.9213 Å; angles 90.00, 99.66, 90.00 degrees
Fractional coordinates of all 8 atoms:
Hg1 0.0000 0.0000 0.0000
Hg2 0.5000 0.5000 0.0000
Os1 0.0000 0.5000 0.5000
Os2 0.2377 0.0000 0.7214
Os3 0.2623 0.5000 0.2786
Os4 0.5000 0.0000 0.5000
Os5 0.7377 0.5000 0.7214
Os6 0.7623 0.0000 0.2786

Values from the calculation:
Size of the total moment ... 0.00 μB/cell
E above lowest polymorph ... 352 meV per atom
E ... -7.753 eV per atom
Formation energy from the elements ... 0.745 eV/atom